# 1
## PrPO4F (GGA-PBE)

Data for a geometry-optimized PrPO4F structure.

abc: 9.543 7.343 6.700
angles: 90.00 105.51 90.00
Space group C2/m (No. 12)
Symmetry-distinct sites (fractional):
Pr1 0.208 0.000 0.121 (multiplicity 4)
P1 0.144 0.500 0.265 (multiplicity 4)
O1 0.022 0.500 0.770 (multiplicity 4)
O2 0.192 0.332 0.159 (multiplicity 8)
O3 0.214 0.500 0.499 (multiplicity 4)
F1 0.019 0.000 0.815 (multiplicity 4)

Uncorrected energy (eV/atom): -7.238
Energy relative to the elements, uncorrected (eV/atom): -2.6822
M_tot (μB/atom): 0.145

# 2
## TbCeAlAg (GGA-PBE)

Data for a geometry-optimized TbCeAlAg structure.

abc: 7.387 7.387 7.387
angles: 90.00 90.00 90.00
Space group F-43m (No. 216)
Symmetry-distinct sites (fractional):
Tb1 0.000 0.000 0.000 (multiplicity 4)
Ce1 0.000 0.000 0.500 (multiplicity 4)
Al1 0.250 0.250 0.750 (multiplicity 4)
Ag1 0.250 0.250 0.250 (multiplicity 4)

Uncorrected energy (eV/atom): -4.503
Energy of formation (eV per atom): -0.21
M_tot (μB/atom): 0.331

# 3
## CoCu2Mo (GGA-PBE)

Data for a geometry-optimized CoCu2Mo structure.

abc: 3.628 3.647 7.742
angles: 90.00 90.00 90.00
Space group Cmmm (No. 65)
Symmetry-distinct sites (fractional):
Co1 0.000 0.000 0.000 (multiplicity 2)
Cu1 0.000 0.500 0.232 (multiplicity 4)
Mo1 0.000 0.000 0.500 (multiplicity 2)

Uncorrected energy (eV/atom): -6.305
Energy of formation (eV per atom): 0.23
M_tot (μB/atom): 0.422

# 4
## YScAlIr (GGA-PBE)

Data for a geometry-optimized YScAlIr structure.

abc: 6.830 6.830 6.830
angles: 90.00 90.00 90.00
Space group F-43m (No. 216)
Symmetry-distinct sites (fractional):
Y1 0.000 0.000 0.000 (multiplicity 4)
Sc1 0.000 0.000 0.500 (multiplicity 4)
Al1 0.250 0.250 0.750 (multiplicity 4)
Ir1 0.250 0.250 0.250 (multiplicity 4)

Uncorrected energy (eV/atom): -6.958
Energy of formation (eV per atom): -0.61
M_tot (μB/atom): 0.000

Which of these has the highest uncorrected energy? TbCeAlAg

What is the uncorrected energy in the third record? -6.305 eV/atom

Repeat the second record exactly.
## TbCeAlAg (GGA-PBE)

Data for a geometry-optimized TbCeAlAg structure.

abc: 7.387 7.387 7.387
angles: 90.00 90.00 90.00
Space group F-43m (No. 216)
Symmetry-distinct sites (fractional):
Tb1 0.000 0.000 0.000 (multiplicity 4)
Ce1 0.000 0.000 0.500 (multiplicity 4)
Al1 0.250 0.250 0.750 (multiplicity 4)
Ag1 0.250 0.250 0.250 (multiplicity 4)

Uncorrected energy (eV/atom): -4.503
Energy of formation (eV per atom): -0.21
M_tot (μB/atom): 0.331

M_tot of number 1 (PrPO4F)? 0.145 μB/atom